Entry 1:
A relaxed GdTm2In3Cu2Pt crystal, computed with PBE.

Results
Its electronic total energy is -40.47 eV/cell.

Cell: 3.9489 7.5015 7.5015 Å, 119.94 90.00 90.00°
With the nearest neighbours (Å) after each atom.
Fractional positions:
Gd1 0.0000 0.4055 0.4055  4 Cu 3.04, 1 Pt 3.07, 6 In 3.17-3.33
In1 0.5000 0.2645 0.9990  2 Cu 2.75-2.81, 2 Pt 2.81
In2 0.5000 0.7351 0.7351  2 Pt 2.78, 2 Cu 2.82
In3 0.5000 0.9990 0.2645  2 Cu 2.75-2.81, 2 Pt 2.81
Tm1 0.0000 0.0006 0.5971  4 Cu 3.00-3.01, 1 Pt 3.01, 6 In 3.18-3.32
Tm2 0.0000 0.5971 0.0006  4 Cu 3.00-3.01, 1 Pt 3.01, 6 In 3.18-3.32
Cu1 0.5000 0.3316 0.6700  3 In 2.75-2.82, 4 Tm 3.00-3.01, 2 Gd 3.04
Cu2 0.5000 0.6700 0.3316  3 In 2.75-2.82, 4 Tm 3.00-3.01, 2 Gd 3.04
Pt1 0.0000 0.9965 0.9965  6 In 2.78-2.81, 2 Tm 3.01, 1 Gd 3.07


Entry 2:
A relaxed YMgFeBi crystal, computed with PBE.

Results
The calculation puts the polymorph energy (0 for the lowest one) at 0.000 eV per atom.

Cell: 5.0645 5.0645 5.0645 Å, 60.00 60.00 60.00°
With the nearest neighbours (Å) after each atom.
Fractional positions:
Fe1 0.5000 0.5000 0.5000  4 Y 3.10, 4 Mg 3.10
Y1 0.2500 0.2500 0.2500  4 Fe 3.10, 4 Bi 3.10
Mg1 0.7500 0.7500 0.7500  4 Fe 3.10, 4 Bi 3.10
Bi1 0.0000 0.0000 0.0000  4 Mg 3.10, 4 Y 3.10


Entry 3:
A relaxed CsNdYSe3 crystal, computed with PBE.

Results
The calculation puts the polymorph energy (0 for the lowest one) at 0.058 eV per atom.

Cell: 8.5499 8.5499 10.7985 Å, 90.00 90.00 147.17°
With the nearest neighbours (Å) after each atom.
Fractional positions:
Y1 0.0000 0.0000 0.5000  6 Se 2.97-3.04
Y2 0.0000 0.0000 0.0000  6 Se 2.97-3.04
Se1 0.0751 0.9249 0.2500  2 Nd 2.80, 2 Y 2.97
Se2 0.9249 0.0751 0.7500  2 Nd 2.80, 2 Y 2.97
Se3 0.3899 0.6101 0.4680  1 Nd 2.86, 2 Y 3.04
Se4 0.3899 0.6101 0.0320  1 Nd 2.86, 2 Y 3.04
Se5 0.6101 0.3899 0.9680  1 Nd 2.86, 2 Y 3.04
Se6 0.6101 0.3899 0.5320  1 Nd 2.86, 2 Y 3.04
Nd1 0.4893 0.5107 0.2500  4 Se 2.80-2.86
Nd2 0.5107 0.4893 0.7500  4 Se 2.80-2.86
Cs1 0.2483 0.7517 0.7500  8 Se 3.77-4.06
Cs2 0.7517 0.2483 0.2500  8 Se 3.77-4.06


| no. | theoretical density (g/cm3) |
| --- | --- |
| 1 | 10.018 |
| 2 | 6.834 |
| 3 | 4.679 |